Record 1
DFT (PBE) results for an optimized crystal structure of Pu2ZrNpAs4.

The structure belongs to space group P2/m (No. 10); the cell edges are 7.035, 4.046 and 7.035 Å and the angles 90.00°, 109.17° and 90.00°. The asymmetric unit holds Pu at (0.000, 0.000, 0.000), Pu at (0.000, 0.500, 0.500), Zr at (0.500, 0.000, 0.500), Np at (0.500, 0.500, 0.000), As at (0.258, 0.000, 0.745) and As at (0.262, 0.500, 0.260).

The volume comes out at 189.16 Å³/f.u. The value obtained for the formation energy is -763 kJ/mol of formula units. As for the electronic total energy: -9.582 eV/atom.



Record 2
DFT (PBE) results for an optimized crystal structure of CaH2Pt2.

The structure belongs to space group P4/mbm (No. 127); the cell edges are 6.803, 6.803 and 2.974 Å and the angles 90.00°, 90.00° and 90.00°. The asymmetric unit holds Ca at (0.000, 0.000, 0.000), H at (0.237, 0.263, 0.000) and Pt at (0.141, 0.359, 0.500).

The volume comes out at 68.81 Å³/f.u. The energy above the most stable polymorph in this dataset is 23.1 meV/atom. As for the electronic total energy: -4.466 eV/atom.



Record 3
DFT (PBE) results for an optimized crystal structure of MnTcSb.

The structure belongs to space group I4mm (No. 107); the cell edges are 3.425, 3.425 and 8.680 Å and the angles 90.00°, 90.00° and 90.00°. The asymmetric unit holds Mn at (0.000, 0.000, 0.000), Tc at (0.000, 0.000, 0.335) and Sb at (0.000, 0.000, 0.674).

The volume comes out at 50.92 Å³/f.u. For the formation energy (no corrections), the calculation gives 212 meV/atom. The energy above the most stable polymorph in this dataset is 109.4 meV/atom. As for the electronic total energy: -7.674 eV/atom.



Record 4
DFT (PBE) results for an optimized crystal structure of Ho2SnGe2Ru5.

The structure belongs to space group P4/mbm (No. 127); the cell edges are 10.126, 10.126 and 3.362 Å and the angles 90.00°, 90.00° and 90.00°. The asymmetric unit holds Ho at (0.173, 0.327, 0.000), Sn at (0.000, 0.000, 0.000), Ge at (0.126, 0.626, 0.000), Ru at (0.000, 0.500, 0.500) and Ru at (0.066, 0.792, 0.500).

The volume comes out at 172.34 Å³/f.u. The value obtained for the formation energy is -446 kJ/mol of formula units. As for the electronic total energy: -7.340 eV/atom.



Record 5
DFT (PBE) results for an optimized crystal structure of AcPmTe2.

The structure belongs to space group Fm-3m (No. 225); the cell edges are 7.930, 7.930 and 7.930 Å and the angles 90.00°, 90.00° and 90.00°. The asymmetric unit holds Ac at (0.000, 0.000, 0.000), Pm at (0.000, 0.000, 0.500) and Te at (0.250, 0.250, 0.250).

The volume comes out at 124.67 Å³/f.u. For the formation energy (no corrections), the calculation gives -1335 meV/atom. The energy above the most stable polymorph in this dataset is 103.2 meV/atom. As for the electronic total energy: -5.121 eV/atom.



Record 6
DFT (PBE) results for an optimized crystal structure of MgZrHRh2.

The structure belongs to space group P4/mmm (No. 123); the cell edges are 4.191, 4.191 and 3.940 Å and the angles 90.00°, 90.00° and 90.00°. The asymmetric unit holds Mg at (0.000, 0.000, 0.000), Zr at (0.500, 0.500, 0.000), H at (0.500, 0.500, 0.500) and Rh at (0.000, 0.500, 0.500).

The volume comes out at 69.18 Å³/f.u. The energy above the most stable polymorph in this dataset is 0.0 meV/atom. As for the electronic total energy: -6.096 eV/atom.



Record 7
DFT (PBE) results for an optimized crystal structure of MgCuI3.

The structure belongs to space group C2/m (No. 12); the cell edges are 16.632, 4.258 and 11.640 Å and the angles 90.00°, 118.60° and 90.00°. The asymmetric unit holds Mg at (0.146, 0.000, 0.341), Cu at (0.028, 0.500, 0.915), I at (0.051, 0.000, 0.801), I at (0.152, 0.500, 0.519) and I at (0.155, 0.500, 0.164).

The volume comes out at 180.93 Å³/f.u. For the formation energy (no corrections), the calculation gives -674 meV/atom. The energy above the most stable polymorph in this dataset is 0.0 meV/atom. As for the electronic total energy: -2.742 eV/atom.



Record 8
DFT (PBE) results for an optimized crystal structure of Li5CuH2O4.

The structure belongs to space group Pnma (No. 62); the cell edges are 5.461, 7.469 and 10.719 Å and the angles 90.00°, 90.00° and 90.00°. The asymmetric unit holds Li at (0.053, 0.250, 0.222), Li at (0.062, 0.750, 0.547), Li at (0.087, 0.250, 0.712), Li at (0.205, 0.006, 0.347), Cu at (0.003, 0.750, 0.026), H at (0.232, 0.513, 0.108), O at (0.166, 0.544, 0.672), O at (0.228, 0.750, 0.904) and O at (0.230, 0.750, 0.374).

The volume comes out at 109.29 Å³/f.u. As for the electronic total energy: -4.846 eV/atom.



Record 9
DFT (PBE) results for an optimized crystal structure of DyHo2Pt.

The structure belongs to space group R3m (No. 160, hexagonal axes); the cell edges are 3.8984, 3.8984 and 26.9268 Å and the angles 90.00°, 90.00° and 120.00°. The asymmetric unit holds Dy at (0.0000, 0.0000, 0.0000), Ho at (0.0000, 0.0000, 0.5592), Ho at (0.0000, 0.0000, 0.7702) and Pt at (0.0000, 0.0000, 0.1642).

The volume comes out at 118.13 Å³/f.u. The value obtained for the formation energy is -202 kJ/mol of formula units. The energy above the most stable polymorph in this dataset is 201.6 meV/atom. As for the electronic total energy: -5.473 eV/atom.



Record 10
DFT (PBE) results for an optimized crystal structure of GdCrTe2.

The structure belongs to space group R-3m (No. 166, hexagonal axes); the cell edges are 3.9792, 3.9792 and 27.4561 Å and the angles 90.00°, 90.00° and 120.00°. The asymmetric unit holds Gd at (0.0000, 0.0000, 0.0000), Cr at (0.0000, 0.0000, 0.5000) and Te at (0.0000, 0.0000, 0.1120).

The volume comes out at 125.50 Å³/f.u. For the formation energy (no corrections), the calculation gives -227 meV/atom. As for the electronic total energy: -7.723 eV/atom.



Record 11
DFT (PBE) results for an optimized crystal structure of PrNd2Ho.

The structure belongs to space group R3m (No. 160, hexagonal axes); the cell edges are 3.6578, 3.6578 and 35.6898 Å and the angles 90.00°, 90.00° and 120.00°. The asymmetric unit holds Pr at (0.0000, 0.0000, 0.0000), Nd at (0.0000, 0.0000, 0.2476), Nd at (0.0000, 0.0000, 0.4184) and Ho at (0.0000, 0.0000, 0.8328).

The volume comes out at 137.84 Å³/f.u. The value obtained for the formation energy is 8 kJ/mol of formula units. The energy above the most stable polymorph in this dataset is 4.4 meV/atom. As for the electronic total energy: -4.704 eV/atom.



Record 12
DFT (PBE) results for an optimized crystal structure of Tb7Y3Tl.

The structure belongs to space group P3m1 (No. 156); the cell edges are 6.9853, 6.9853 and 8.5446 Å and the angles 90.00°, 90.00° and 120.00°. The asymmetric unit holds Tb at (0.0000, 0.0000, 0.0000), Tb at (0.1635, 0.3271, 0.3332), Tb at (0.5015, 0.0030, 0.0102), Y at (0.3318, 0.1659, 0.6702) and Tl at (0.6667, 0.3333, 0.3416).

The volume comes out at 361.07 Å³/f.u. The value obtained for the formation energy is 155 kJ/mol of formula units. As for the electronic total energy: -4.779 eV/atom.



Repeat the fourth record exactly.
DFT (PBE) results for an optimized crystal structure of Ho2SnGe2Ru5.

The structure belongs to space group P4/mbm (No. 127); the cell edges are 10.126, 10.126 and 3.362 Å and the angles 90.00°, 90.00° and 90.00°. The asymmetric unit holds Ho at (0.173, 0.327, 0.000), Sn at (0.000, 0.000, 0.000), Ge at (0.126, 0.626, 0.000), Ru at (0.000, 0.500, 0.500) and Ru at (0.066, 0.792, 0.500).

The volume comes out at 172.34 Å³/f.u. The value obtained for the formation energy is -446 kJ/mol of formula units. As for the electronic total energy: -7.340 eV/atom.